No. 1
Here is Tb8Dy4Ho after structural relaxation from Alexandria. Energies are from PBE.

Lattice parameters (Å, degrees): 12.3146 7.4224 10.2944 90.00 146.73 107.55
Element x y z (fractional)
1 Tb 0.4764 0.7382 0.2811
2 Tb 0.5236 0.2618 0.7189
3 Tb 0.5246 0.2622 0.3292
4 Tb 0.0002 0.2185 0.7135
5 Tb 0.4754 0.7378 0.6708
6 Tb 0.0002 0.7816 0.7135
7 Tb 0.9998 0.2184 0.2865
8 Tb 0.9998 0.7815 0.2865
9 Dy 0.0000 0.0000 0.0000
10 Dy 0.0000 0.5000 0.0000
11 Dy 0.5000 0.5000 0.0000
12 Dy 0.5000 0.0000 0.0000
13 Ho 0.0000 0.5000 0.5000

Values from the calculation:
- Space group: No. 65
- Formation energy: 0.246 eV per atom

---

No. 2
Here is Ta2InSi after structural relaxation from Alexandria. Energies are from PBE.

Lattice parameters (Å, degrees): 3.0025 3.0025 8.1988 90.00 90.00 104.23
Element x y z (fractional)
1 In 0.5000 0.5000 0.2500
2 Si 0.5000 0.5000 0.7500
3 Ta 0.0000 0.0000 0.9661
4 Ta 0.0000 0.0000 0.5339

Values from the calculation:
- Space group: No. 65
- E_form (uncorrected): 0.010 eV per atom

---

No. 3
Here is LaCrTc after structural relaxation from Alexandria. Energies are from PBE.

Lattice parameters (Å, degrees): 7.3533 7.0922 2.9809 83.05 73.22 23.73
Element x y z (fractional)
1 Cr 0.0217 0.0217 0.9783
2 La 0.3348 0.3348 0.6652
3 Tc 0.6435 0.6435 0.3565

Values from the calculation:
- Space group: No. 42
- Relative energy among the computed polymorphs: 90 kJ/mol of formula units
- Formation energy: 0.604 eV per atom

---

- Number 2 is which compound?
  Ta2InSi

---

Please write out number 2 again, unchanged.
Here is Ta2InSi after structural relaxation from Alexandria. Energies are from PBE.

Lattice parameters (Å, degrees): 3.0025 3.0025 8.1988 90.00 90.00 104.23
Element x y z (fractional)
1 In 0.5000 0.5000 0.2500
2 Si 0.5000 0.5000 0.7500
3 Ta 0.0000 0.0000 0.9661
4 Ta 0.0000 0.0000 0.5339

Values from the calculation:
- Space group: No. 65
- E_form (uncorrected): 0.010 eV per atom